Record 1
Entry from Alexandria via LeMat-Bulk: a relaxed SmDy3Cd crystal (PBE-GGA).

## Properties
The excess energy over the best structure of this formula in the dataset is 0.000 eV/atom. The volume comes out at 300.9 Å³/cell. The calculation puts the energy of formation from the pure elements at -0.54 eV per formula unit.

Unit cell a=3.6803 b=6.7385 c=12.6357 alpha=86.72 beta=90.01 gamma=74.14
Atoms (fractional coordinates):
Dy (0.8538, 0.2924, 0.5528)
Dy (0.3657, 0.2678, 0.0229)
Dy (0.9637, 0.0722, 0.8108)
Dy (0.1462, 0.7076, 0.4472)
Dy (0.6343, 0.7322, 0.9771)
Dy (0.0363, 0.9278, 0.1892)
Cd (0.4448, 0.1108, 0.3738)
Cd (0.5552, 0.8892, 0.6262)
Sm (0.2323, 0.5356, 0.7533)
Sm (0.7677, 0.4644, 0.2467)

***

Record 2
Entry from Alexandria via LeMat-Bulk: a relaxed SmDy7Cd2 crystal (PBE-GGA).

## Properties
The volume comes out at 371.9 Å³/cell. The calculation puts the energy of formation from the pure elements at 4.15 eV per formula unit.

Unit cell a=5.3336 b=8.9531 c=8.9531 alpha=119.56 beta=90.00 gamma=90.00
Last column: magnetic moment on the atom in μB.
Atoms (fractional coordinates):
Dy (0.0000, 0.7701, 0.2299)  0.16
Dy (0.0000, 0.2299, 0.7701)  0.16
Dy (0.5000, 0.5000, 0.5000)  0.12
Dy (0.5000, 0.0624, 0.3006)  0.21
Dy (0.5000, 0.6994, 0.9376)  0.21
Dy (0.5000, 0.9376, 0.6994)  0.21
Dy (0.5000, 0.3006, 0.0624)  0.21
Sm (0.0000, 0.0000, 0.0000)  0.15
Cd (0.5000, 0.6962, 0.3038)  0.01
Cd (0.5000, 0.3038, 0.6962)  0.01

***

Record 3
Entry from Alexandria via LeMat-Bulk: a relaxed SmDy3Cd crystal (PBE-GGA).

## Properties
The excess energy over the best structure of this formula in the dataset is 0.071 eV/atom. The volume comes out at 311.5 Å³/cell. The calculation puts the energy of formation from the pure elements at -0.18 eV per formula unit.

Unit cell a=6.7177 b=6.7177 c=8.8692 alpha=87.40 beta=119.28 gamma=114.45
Atoms (fractional coordinates):
Sm (0.6781, 0.0592, 0.7373)
Sm (0.3219, 0.9408, 0.2627)
Dy (0.8194, 0.4393, 0.2587)
Dy (0.7728, 0.5907, 0.8644)
Dy (0.7263, 0.9084, 0.1356)
Dy (0.2272, 0.4093, 0.1356)
Dy (0.2737, 0.0916, 0.8644)
Dy (0.1806, 0.5607, 0.7413)
Cd (0.7557, 0.7445, 0.5002)
Cd (0.2443, 0.2555, 0.4998)

***

Record 4
Entry from Alexandria via LeMat-Bulk: a relaxed SmDy2Cd6 crystal (PBE-GGA).

## Properties
The volume comes out at 222.8 Å³/cell. The calculation puts the energy of formation from the pure elements at -2.89 eV per formula unit.

Unit cell a=3.4287 b=8.6625 c=8.6625 alpha=120.00 beta=90.00 gamma=90.00
Atoms (fractional coordinates):
Dy (0.0000, 0.6667, 0.3333)
Dy (0.0000, 0.3333, 0.6667)
Cd (0.5000, 0.0000, 0.6649)
Cd (0.5000, 0.0000, 0.3351)
Cd (0.5000, 0.3351, 0.3351)
Cd (0.5000, 0.3351, 0.0000)
Cd (0.5000, 0.6649, 0.0000)
Cd (0.5000, 0.6649, 0.6649)
Sm (0.0000, 0.0000, 0.0000)

***

Record 5
Entry from Alexandria via LeMat-Bulk: a relaxed SmDyCd5 crystal (PBE-GGA).

## Properties
The volume comes out at 185.1 Å³/cell. The calculation puts the energy of formation from the pure elements at -0.78 eV per formula unit.

Unit cell a=5.1735 b=5.1735 c=6.9174 alpha=90.00 beta=90.00 gamma=90.00
Atoms (fractional coordinates):
Dy (0.5000, 0.5000, 0.0000)
Cd (0.5000, 0.0000, 0.7695)
Cd (0.0000, 0.5000, 0.2305)
Cd (0.5000, 0.5000, 0.5000)
Cd (0.5000, 0.0000, 0.2305)
Cd (0.0000, 0.5000, 0.7695)
Sm (0.0000, 0.0000, 0.5000)

***

Record 6
Entry from Alexandria via LeMat-Bulk: a relaxed Sm3Dy12Cd crystal (PBE-GGA).

## Properties
The volume comes out at 498.4 Å³/cell. The calculation puts the energy of formation from the pure elements at -0.05 eV per formula unit.

Unit cell a=4.9794 b=4.9794 c=20.1001 alpha=90.00 beta=90.00 gamma=90.00
Atoms (fractional coordinates):
Dy (0.0000, 0.5000, 0.1204)
Dy (0.0000, 0.5000, 0.6270)
Dy (0.5000, 0.0000, 0.1204)
Dy (0.0000, 0.5000, 0.8796)
Dy (0.5000, 0.0000, 0.3730)
Dy (0.5000, 0.5000, 0.0000)
Dy (0.5000, 0.0000, 0.6270)
Dy (0.5000, 0.0000, 0.8796)
Dy (0.0000, 0.5000, 0.3730)
Dy (0.5000, 0.5000, 0.7565)
Dy (0.5000, 0.5000, 0.5000)
Dy (0.5000, 0.5000, 0.2435)
Sm (0.0000, 0.0000, 0.5000)
Sm (0.0000, 0.0000, 0.2473)
Sm (0.0000, 0.0000, 0.7527)
Cd (0.0000, 0.0000, 0.0000)